The following is a DFT calculation (PBE with a Hubbard U) of a geometry-optimized Rb2NiIF6 structure.

Lattice parameters (Å, degrees): 6.384 6.384 6.384 115.95 115.95 97.17
Fractional coordinates of all 10 atoms:
Rb1 0.250 0.750 0.500
Rb2 0.750 0.250 0.500
Ni1 0.000 0.000 0.000
I1 0.500 0.500 0.000
F1 0.202 0.202 0.403
F2 0.202 0.798 0.000
F3 0.254 0.254 0.000
F4 0.746 0.746 0.000
F5 0.798 0.202 0.000
F6 0.798 0.798 0.597

Output
total magnetic moment	1.00	μB/f.u.
electronic total energy	-3.723	eV per atom
space-group type	I4/mmm
volume	194	Å³/cell